## one
DFT (GGA-PBEsol) results for a relaxed structure of CuOs2W.

Calculated values
SG	Fm-3m (225)
total moment	0.00	μB/f.u.
density of states at the Fermi level	4.34	states/eV/f.u.

a = 6.0690 Å, b = 6.0690 Å, c = 6.0690 Å
α = 90.00°, β = 90.00°, γ = 90.00°
Positions (direct):
Cu  0.0000  0.0000  0.0000
Cu  0.0000  0.5000  0.5000
Cu  0.5000  0.0000  0.5000
Cu  0.5000  0.5000  0.0000
Os  0.2500  0.2500  0.2500
Os  0.2500  0.2500  0.7500
Os  0.2500  0.7500  0.2500
Os  0.2500  0.7500  0.7500
Os  0.7500  0.2500  0.2500
Os  0.7500  0.2500  0.7500
Os  0.7500  0.7500  0.2500
Os  0.7500  0.7500  0.7500
W  0.0000  0.0000  0.5000
W  0.0000  0.5000  0.0000
W  0.5000  0.0000  0.0000
W  0.5000  0.5000  0.5000


## two
DFT (GGA-PBEsol) results for a relaxed structure of CuOs2W.

Calculated values
SG	Cmmm (65)
total moment	0.00	μB/f.u.
density of states at the Fermi level	3.56	states/eV/f.u.

a = 2.8684 Å, b = 4.4726 Å, c = 8.8609 Å
α = 90.00°, β = 90.00°, γ = 90.00°
Positions (direct):
Cu  0.0000  0.0000  0.0000
Cu  0.5000  0.5000  0.0000
Os  0.0000  0.5000  0.2468
Os  0.0000  0.5000  0.7532
Os  0.5000  0.0000  0.2468
Os  0.5000  0.0000  0.7532
W  0.0000  0.0000  0.5000
W  0.5000  0.5000  0.5000


In order of decreasing stability: one, two.


## one
DFT (GGA-PBEsol) results for a relaxed structure of ZrCu2Os.

Calculated values
SG	I-4m2 (119)
total moment	0.00	μB/f.u.
density of states at the Fermi level	1.75	states/eV/f.u.

a = 3.8676 Å, b = 3.8676 Å, c = 7.7442 Å
α = 90.00°, β = 90.00°, γ = 90.00°
Positions (direct):
Zr  0.0000  0.0000  0.0000
Zr  0.5000  0.5000  0.5000
Cu  0.0000  0.0000  0.5000
Cu  0.0000  0.5000  0.2500
Cu  0.5000  0.0000  0.7500
Cu  0.5000  0.5000  0.0000
Os  0.0000  0.5000  0.7500
Os  0.5000  0.0000  0.2500


## two
DFT (GGA-PBEsol) results for a relaxed structure of ZrCu2Os.

Calculated values
SG	P4/mmm (123)
total moment	0.00	μB/f.u.
density of states at the Fermi level	2.63	states/eV/f.u.

a = 3.3166 Å, b = 3.3166 Å, c = 5.2619 Å
α = 90.00°, β = 90.00°, γ = 90.00°
Positions (direct):
Zr  0.0000  0.0000  0.0000
Cu  0.5000  0.5000  0.2653
Cu  0.5000  0.5000  0.7347
Os  0.0000  0.0000  0.5000


## three
DFT (GGA-PBEsol) results for a relaxed structure of ZrCu2Os.

Calculated values
SG	Cm (8)
total moment	0.00	μB/f.u.
density of states at the Fermi level	2.46	states/eV/f.u.

a = 9.1404 Å, b = 2.7521 Å, c = 4.6887 Å
α = 90.00°, β = 102.87°, γ = 90.00°
Positions (direct):
Zr  0.0000  0.0000  0.0000
Zr  0.5000  0.5000  0.0000
Cu  0.2587  0.5000  0.2625
Cu  0.4885  0.0000  0.4936
Cu  0.7587  0.0000  0.2625
Cu  0.9885  0.5000  0.4936
Os  0.2302  0.0000  0.7232
Os  0.7302  0.5000  0.7232


In order of decreasing stability: one, two, three.


## one
DFT (GGA-PBEsol) results for a relaxed structure of CuP3.

Calculated values
SG	P4/mmm (123)
total moment	0.00	μB/f.u.
density of states at the Fermi level	1.96	states/eV/f.u.

a = 4.5429 Å, b = 4.5429 Å, c = 2.5791 Å
α = 90.00°, β = 90.00°, γ = 90.00°
Positions (direct):
Cu  0.0000  0.0000  0.0000
P  0.0000  0.5000  0.5000
P  0.5000  0.0000  0.5000
P  0.5000  0.5000  0.0000


## two
DFT (GGA-PBEsol) results for a relaxed structure of CuP3.

Calculated values
SG	Pmmm (47)
total moment	0.00	μB/f.u.
density of states at the Fermi level	1.69	states/eV/f.u.

a = 2.5401 Å, b = 3.9817 Å, c = 5.4485 Å
α = 90.00°, β = 90.00°, γ = 90.00°
Positions (direct):
Cu  0.0000  0.0000  0.0000
P  0.0000  0.0000  0.5000
P  0.5000  0.5000  0.2122
P  0.5000  0.5000  0.7878


In order of decreasing stability: one, two.


## one
DFT (GGA-PBEsol) results for a relaxed structure of CuP2Pt.

Calculated values
SG	Cmmm (65)
total moment	0.00	μB/f.u.
density of states at the Fermi level	1.48	states/eV/f.u.

a = 5.2157 Å, b = 6.5672 Å, c = 3.2039 Å
α = 90.00°, β = 90.00°, γ = 90.00°
Positions (direct):
Cu  0.0000  0.0000  0.0000
Cu  0.5000  0.5000  0.0000
P  0.2500  0.2500  0.5000
P  0.2500  0.7500  0.5000
P  0.7500  0.2500  0.5000
P  0.7500  0.7500  0.5000
Pt  0.0000  0.5000  0.0000
Pt  0.5000  0.0000  0.0000


## two
DFT (GGA-PBEsol) results for a relaxed structure of CuP2Pt.

Calculated values
SG	P2/m (10)
total moment	0.00	μB/f.u.
density of states at the Fermi level	1.76	states/eV/f.u.

a = 3.8967 Å, b = 3.8914 Å, c = 3.9571 Å
α = 90.00°, β = 90.01°, γ = 90.00°
Positions (direct):
Cu  0.0000  0.0000  0.0000
P  0.3129  0.5000  0.7985
P  0.6871  0.5000  0.2015
Pt  0.5000  0.0000  0.5000


In order of decreasing stability: two, one.


## one
DFT (GGA-PBEsol) results for a relaxed structure of RbCu2P.

Calculated values
SG	Fm-3m (225)
total moment	0.00	μB/f.u.
density of states at the Fermi level	0.72	states/eV/f.u.

a = 6.5431 Å, b = 6.5431 Å, c = 6.5431 Å
α = 90.00°, β = 90.00°, γ = 90.00°
Positions (direct):
Rb  0.0000  0.0000  0.0000
Rb  0.0000  0.5000  0.5000
Rb  0.5000  0.0000  0.5000
Rb  0.5000  0.5000  0.0000
Cu  0.2500  0.2500  0.2500
Cu  0.2500  0.2500  0.7500
Cu  0.2500  0.7500  0.2500
Cu  0.2500  0.7500  0.7500
Cu  0.7500  0.2500  0.2500
Cu  0.7500  0.2500  0.7500
Cu  0.7500  0.7500  0.2500
Cu  0.7500  0.7500  0.7500
P  0.0000  0.0000  0.5000
P  0.0000  0.5000  0.0000
P  0.5000  0.0000  0.0000
P  0.5000  0.5000  0.5000


## two
DFT (GGA-PBEsol) results for a relaxed structure of RbCu2P.

Calculated values
SG	I4_1/amd (141)
total moment	0.00	μB/f.u.

a = 5.3015 Å, b = 5.3015 Å, c = 13.8616 Å
α = 90.00°, β = 90.00°, γ = 90.00°
Positions (direct):
Rb  0.0000  0.2500  0.3750
Rb  0.0000  0.7500  0.6250
Rb  0.5000  0.2500  0.1250
Rb  0.5000  0.7500  0.8750
Cu  0.0000  0.0000  0.0000
Cu  0.0000  0.5000  0.0000
Cu  0.2500  0.2500  0.7500
Cu  0.2500  0.7500  0.2500
Cu  0.5000  0.0000  0.5000
Cu  0.5000  0.5000  0.5000
Cu  0.7500  0.2500  0.7500
Cu  0.7500  0.7500  0.2500
P  0.0000  0.2500  0.8750
P  0.0000  0.7500  0.1250
P  0.5000  0.2500  0.6250
P  0.5000  0.7500  0.3750


In order of decreasing stability: two, one.


## one
DFT (GGA-PBEsol) results for a relaxed structure of CuP2Rh.

Calculated values
SG	R-3m (166)
total moment	0.00	μB/f.u.
density of states at the Fermi level	1.38	states/eV/f.u.

a = 2.9140 Å, b = 2.9140 Å, c = 21.3369 Å
α = 90.00°, β = 90.00°, γ = 120.00°
Positions (direct):
Cu  0.0000  0.0000  0.0000
Cu  0.3333  0.6667  0.6667
Cu  0.6667  0.3333  0.3333
P  0.0000  0.0000  0.2501
P  0.0000  0.0000  0.7499
P  0.3333  0.6667  0.4166
P  0.3333  0.6667  0.9168
P  0.6667  0.3333  0.0832
P  0.6667  0.3333  0.5834
Rh  0.0000  0.0000  0.5000
Rh  0.3333  0.6667  0.1667
Rh  0.6667  0.3333  0.8333


## two
DFT (GGA-PBEsol) results for a relaxed structure of CuP2Rh.

Calculated values
SG	Pmm2 (25)
total moment	0.00	μB/f.u.
density of states at the Fermi level	1.93	states/eV/f.u.

a = 2.6406 Å, b = 4.4238 Å, c = 4.6977 Å
α = 90.00°, β = 90.00°, γ = 90.00°
Positions (direct):
Cu  0.0000  0.0000  0.0000
P  0.0000  0.0000  0.5000
P  0.0000  0.5000  0.1723
Rh  0.0000  0.5000  0.6754


## three
DFT (GGA-PBEsol) results for a relaxed structure of CuP2Rh.

Calculated values
SG	P4mm (99)
total moment	0.00	μB/f.u.
density of states at the Fermi level	1.81	states/eV/f.u.

a = 2.7934 Å, b = 2.7934 Å, c = 7.0977 Å
α = 90.00°, β = 90.00°, γ = 90.00°
Positions (direct):
Cu  0.0000  0.0000  0.0000
P  0.0000  0.0000  0.5456
P  0.5000  0.5000  0.1992
Rh  0.5000  0.5000  0.7294


## four
DFT (GGA-PBEsol) results for a relaxed structure of CuP2Rh.

Calculated values
SG	P4/mmm (123)
total moment	0.00	μB/f.u.
density of states at the Fermi level	2.67	states/eV/f.u.

a = 2.8420 Å, b = 2.8420 Å, c = 6.4385 Å
α = 90.00°, β = 90.00°, γ = 90.00°
Positions (direct):
Cu  0.0000  0.0000  0.0000
P  0.5000  0.5000  0.2588
P  0.5000  0.5000  0.7412
Rh  0.0000  0.0000  0.5000


In order of decreasing stability: one, two, four, three.


## one
DFT (GGA-PBEsol) results for a relaxed structure of Cu2SbP.

Calculated values
SG	Cmmm (65)
total moment	0.00	μB/f.u.
density of states at the Fermi level	1.68	states/eV/f.u.

a = 3.9484 Å, b = 4.5799 Å, c = 7.0363 Å
α = 90.00°, β = 90.00°, γ = 90.00°
Positions (direct):
Cu  0.0000  0.0000  0.1928
Cu  0.0000  0.0000  0.8072
Cu  0.5000  0.5000  0.1928
Cu  0.5000  0.5000  0.8072
Sb  0.0000  0.5000  0.5000
Sb  0.5000  0.0000  0.5000
P  0.0000  0.5000  0.0000
P  0.5000  0.0000  0.0000


## two
DFT (GGA-PBEsol) results for a relaxed structure of Cu2SbP.

Calculated values
SG	C2/m (12)
total moment	0.00	μB/f.u.
density of states at the Fermi level	1.61	states/eV/f.u.

a = 6.9034 Å, b = 3.4187 Å, c = 5.6238 Å
α = 90.00°, β = 106.63°, γ = 90.00°
Positions (direct):
Cu  0.2366  0.0000  0.1797
Cu  0.2634  0.5000  0.8203
Cu  0.7366  0.5000  0.1797
Cu  0.7634  0.0000  0.8203
Sb  0.0000  0.0000  0.5000
Sb  0.5000  0.5000  0.5000
P  0.0000  0.5000  0.0000
P  0.5000  0.0000  0.0000


In order of decreasing stability: two, one.


## one
DFT (GGA-PBEsol) results for a relaxed structure of CuPSe2.

Calculated values
SG	R-3m (166)
total moment	0.00	μB/f.u.
density of states at the Fermi level	0.20	states/eV/f.u.

a = 3.7311 Å, b = 3.7311 Å, c = 21.7477 Å
α = 90.00°, β = 90.00°, γ = 120.00°
Positions (direct):
Cu  0.0000  0.0000  0.0000
Cu  0.3333  0.6667  0.6667
Cu  0.6667  0.3333  0.3333
P  0.0000  0.0000  0.5000
P  0.3333  0.6667  0.1667
P  0.6667  0.3333  0.8333
Se  0.0000  0.0000  0.1025
Se  0.0000  0.0000  0.8975
Se  0.3333  0.6667  0.5642
Se  0.3333  0.6667  0.7691
Se  0.6667  0.3333  0.2309
Se  0.6667  0.3333  0.4358


## two
DFT (GGA-PBEsol) results for a relaxed structure of CuPSe2.

Calculated values
SG	Immm (71)
total moment	0.00	μB/f.u.
density of states at the Fermi level	2.10	states/eV/f.u.

a = 3.5733 Å, b = 3.7129 Å, c = 10.9162 Å
α = 90.00°, β = 90.00°, γ = 90.00°
Positions (direct):
Cu  0.0000  0.0000  0.0000
Cu  0.5000  0.5000  0.5000
P  0.0000  0.0000  0.5000
P  0.5000  0.5000  0.0000
Se  0.0000  0.5000  0.3366
Se  0.0000  0.5000  0.6634
Se  0.5000  0.0000  0.1634
Se  0.5000  0.0000  0.8366


In order of decreasing stability: two, one.